Record 1
DFT (SCAN) results for a PBEsol-optimized structure of AlCu5. Values from VASP.

Cell and atoms, written as Quantum ESPRESSO input:
```
&SYSTEM
  ibrav = 0, nat = 6, ntyp = 2
/
ATOMIC_SPECIES
Al 26.98 Al.upf
Cu 63.55 Cu.upf
CELL_PARAMETERS angstrom
4.148 0.000 0.000
0.000 1.304 6.516
0.000 -1.304 6.516
ATOMIC_POSITIONS angstrom
Al 0.000 0.000 0.000
Cu 0.000 0.000 4.333
Cu 0.000 0.000 8.702
Cu 2.074 0.000 1.520
Cu 2.074 0.000 5.825
Cu 2.074 0.000 10.187
```

Properties
The total energy is -14.09 eV per atom. The value obtained for the energy of formation is -130 meV/atom. As for the space group: Amm2, No. 38.

=====

Record 2
DFT (SCAN) results for a PBEsol-optimized structure of Al3Cu. Values from VASP.

Cell and atoms, written as Quantum ESPRESSO input:
```
&SYSTEM
  ibrav = 0, nat = 4, ntyp = 2
/
ATOMIC_SPECIES
Al 26.98 Al.upf
Cu 63.55 Cu.upf
CELL_PARAMETERS angstrom
2.695 -3.828 0.000
2.695 3.828 0.000
0.000 0.000 2.850
ATOMIC_POSITIONS angstrom
Al 0.000 0.000 0.000
Al 1.348 1.914 1.425
Al 1.348 -1.914 1.425
Cu 2.695 0.000 0.000
```

Properties
The total energy is -9.68 eV per atom. The value obtained for the energy of formation is -67 meV/atom. As for the space group: Cmmm, No. 65.

=====

Record 3
DFT (SCAN) results for a PBEsol-optimized structure of AlCu5. Values from VASP.

Cell and atoms, written as Quantum ESPRESSO input:
```
&SYSTEM
  ibrav = 0, nat = 6, ntyp = 2
/
ATOMIC_SPECIES
Al 26.98 Al.upf
Cu 63.55 Cu.upf
CELL_PARAMETERS angstrom
4.663 -1.312 0.000
4.663 1.312 0.000
-1.652 0.000 5.763
ATOMIC_POSITIONS angstrom
Al 0.000 0.000 0.000
Cu 2.534 0.000 0.409
Cu 2.016 0.000 3.842
Cu 4.555 0.000 4.226
Cu 5.681 0.000 1.945
Cu 8.213 0.000 2.324
```

Properties
The total energy is -14.09 eV per atom. The value obtained for the energy of formation is -133 meV/atom. As for the space group: Cm, No. 8.

=====

Record 4
DFT (SCAN) results for a PBEsol-optimized structure of Al5Cu3. Values from VASP.

Cell and atoms, written as Quantum ESPRESSO input:
```
&SYSTEM
  ibrav = 0, nat = 8, ntyp = 2
/
ATOMIC_SPECIES
Al 26.98 Al.upf
Cu 63.55 Cu.upf
CELL_PARAMETERS angstrom
3.723 -3.893 0.000
3.723 3.893 0.000
0.000 0.000 3.841
ATOMIC_POSITIONS angstrom
Al 0.000 0.000 0.000
Al 1.862 1.947 0.000
Al 2.029 0.000 1.921
Al 1.862 -1.947 0.000
Al 5.417 0.000 1.921
Cu 3.723 2.048 1.921
Cu 3.723 0.000 0.000
Cu 3.723 -2.048 1.921
```

Properties
The total energy is -10.68 eV per atom. The value obtained for the energy of formation is -135 meV/atom. As for the space group: Cmmm, No. 65.

=====

Record 5
DFT (SCAN) results for a PBEsol-optimized structure of Al3Cu. Values from VASP.

Cell and atoms, written as Quantum ESPRESSO input:
```
&SYSTEM
  ibrav = 0, nat = 4, ntyp = 2
/
ATOMIC_SPECIES
Al 26.98 Al.upf
Cu 63.55 Cu.upf
CELL_PARAMETERS angstrom
4.473 -1.427 0.000
4.473 1.427 0.000
-0.852 0.000 4.611
ATOMIC_POSITIONS angstrom
Al 0.000 0.000 0.000
Al 1.529 0.000 3.418
Al 6.565 0.000 1.193
Cu 4.047 0.000 2.306
```

Properties
The total energy is -9.69 eV per atom. The value obtained for the energy of formation is -74 meV/atom. As for the space group: C2/m, No. 12.

=====

Record 6
DFT (SCAN) results for a PBEsol-optimized structure of DyAl8Cu4. Values from VASP.

Cell and atoms, written as Quantum ESPRESSO input:
```
&SYSTEM
  ibrav = 0, nat = 13, ntyp = 3
/
ATOMIC_SPECIES
Dy 162.50 Dy.upf
Al 26.98 Al.upf
Cu 63.55 Cu.upf
CELL_PARAMETERS angstrom
-4.355 4.355 2.542
4.355 -4.355 2.542
4.355 4.355 -2.542
ATOMIC_POSITIONS angstrom
Dy 0.000 0.000 0.000
Al 3.022 0.000 0.000
Al 5.688 0.000 0.000
Al 4.355 2.454 0.000
Al 0.000 3.022 0.000
Al 2.454 4.355 0.000
Al 1.901 0.000 2.542
Al 0.000 5.688 0.000
Al 0.000 1.901 2.542
Cu 2.178 2.178 -1.271
Cu 2.178 -2.178 1.271
Cu -2.178 2.178 1.271
Cu 2.178 2.178 1.271
```

Properties
The total energy is -13.51 eV per atom. The value obtained for the energy of formation is -390 meV/atom. As for the space group: I4/mmm, No. 139.

=====

Record 7
DFT (SCAN) results for a PBEsol-optimized structure of DyAlCu4. Values from VASP.

Cell and atoms, written as Quantum ESPRESSO input:
```
&SYSTEM
  ibrav = 0, nat = 6, ntyp = 3
/
ATOMIC_SPECIES
Dy 162.50 Dy.upf
Al 26.98 Al.upf
Cu 63.55 Cu.upf
CELL_PARAMETERS angstrom
5.070 0.000 0.000
-2.535 4.391 0.000
0.000 0.000 3.992
ATOMIC_POSITIONS angstrom
Dy 0.000 0.000 0.000
Al 2.535 1.464 0.000
Cu -1.260 2.200 1.996
Cu 0.000 2.927 0.000
Cu 1.260 2.200 1.996
Cu 0.000 4.382 1.996
```

Properties
The total energy is -19.69 eV per atom. The value obtained for the energy of formation is -301 meV/atom. As for the space group: P-6m2, No. 187.

=====

Record 8
DFT (SCAN) results for a PBEsol-optimized structure of ErAlCu4. Values from VASP.

Cell and atoms, written as Quantum ESPRESSO input:
```
&SYSTEM
  ibrav = 0, nat = 6, ntyp = 3
/
ATOMIC_SPECIES
Er 167.26 Er.upf
Al 26.98 Al.upf
Cu 63.55 Cu.upf
CELL_PARAMETERS angstrom
5.044 0.000 0.000
-2.522 4.368 0.000
0.000 0.000 3.995
ATOMIC_POSITIONS angstrom
Er 0.000 0.000 0.000
Al 0.000 2.912 0.000
Cu 2.522 0.008 1.998
Cu 1.268 2.180 1.998
Cu 2.522 1.456 0.000
Cu 3.775 2.180 1.998
```

Properties
The total energy is -20.12 eV per atom. The value obtained for the energy of formation is -303 meV/atom. As for the space group: P-6m2, No. 187.

=====

Record 9
DFT (SCAN) results for a PBEsol-optimized structure of ErAl8Cu4. Values from VASP.

Cell and atoms, written as Quantum ESPRESSO input:
```
&SYSTEM
  ibrav = 0, nat = 13, ntyp = 3
/
ATOMIC_SPECIES
Er 167.26 Er.upf
Al 26.98 Al.upf
Cu 63.55 Cu.upf
CELL_PARAMETERS angstrom
-4.352 4.352 2.537
4.352 -4.352 2.537
4.352 4.352 -2.537
ATOMIC_POSITIONS angstrom
Er 0.000 0.000 0.000
Al 3.019 0.000 0.000
Al 5.685 0.000 0.000
Al 4.352 2.457 0.000
Al 0.000 3.019 0.000
Al 2.457 4.352 0.000
Al 1.895 0.000 2.537
Al 0.000 5.685 0.000
Al 0.000 1.895 2.537
Cu 2.176 2.176 -1.268
Cu 2.176 -2.176 1.268
Cu -2.176 2.176 1.268
Cu 2.176 2.176 1.268
```

Properties
The total energy is -13.70 eV per atom. The value obtained for the energy of formation is -384 meV/atom. As for the space group: I4/mmm, No. 139.

=====

Record 10
DFT (SCAN) results for a PBEsol-optimized structure of Er6Al7Cu16. Values from VASP.

Cell and atoms, written as Quantum ESPRESSO input:
```
&SYSTEM
  ibrav = 0, nat = 29, ntyp = 3
/
ATOMIC_SPECIES
Er 167.26 Er.upf
Al 26.98 Al.upf
Cu 63.55 Cu.upf
CELL_PARAMETERS angstrom
0.000 6.045 6.045
6.045 0.000 6.045
6.045 6.045 0.000
ATOMIC_POSITIONS angstrom
Er 6.045 6.045 2.557
Er 6.045 2.557 6.045
Er 9.533 6.045 6.045
Er 2.557 6.045 6.045
Er 6.045 9.533 6.045
Er 6.045 6.045 9.533
Al 3.022 3.022 0.000
Al 3.022 0.000 3.022
Al 6.045 3.022 3.022
Al 0.000 3.022 3.022
Al 3.022 6.045 3.022
Al 3.022 3.022 6.045
Al 6.045 6.045 6.045
Cu 7.515 4.575 4.575
Cu 2.095 2.095 2.095
Cu 3.950 3.950 2.095
Cu 3.950 2.095 3.950
Cu 4.575 4.575 4.575
Cu 7.515 7.515 4.575
Cu 7.515 4.575 7.515
Cu 2.095 3.950 3.950
Cu 9.995 8.139 8.139
Cu 4.575 7.515 4.575
Cu 4.575 4.575 7.515
Cu 7.515 7.515 7.515
Cu 8.139 9.995 8.139
Cu 8.139 8.139 9.995
Cu 9.995 9.995 9.995
Cu 4.575 7.515 7.515
```

Properties
The total energy is -21.14 eV per atom. The value obtained for the energy of formation is -464 meV/atom. As for the space group: Fm-3m, No. 225.

=====

Record 11
DFT (SCAN) results for a PBEsol-optimized structure of EuAl8Cu4. Values from VASP.

Cell and atoms, written as Quantum ESPRESSO input:
```
&SYSTEM
  ibrav = 0, nat = 13, ntyp = 3
/
ATOMIC_SPECIES
Eu 151.96 Eu.upf
Al 26.98 Al.upf
Cu 63.55 Cu.upf
CELL_PARAMETERS angstrom
-4.381 4.381 2.552
4.381 -4.381 2.552
4.381 4.381 -2.552
ATOMIC_POSITIONS angstrom
Eu 0.000 0.000 0.000
Al 3.040 0.000 0.000
Al 5.723 0.000 0.000
Al 4.381 2.448 0.000
Al 0.000 3.040 0.000
Al 2.448 4.381 0.000
Al 1.933 0.000 2.552
Al 0.000 5.723 0.000
Al 0.000 1.933 2.552
Cu 2.191 2.191 -1.276
Cu 2.191 -2.191 1.276
Cu -2.191 2.191 1.276
Cu 2.191 2.191 1.276
```

Properties
The total energy is -13.95 eV per atom. The value obtained for the energy of formation is -368 meV/atom. As for the space group: I4/mmm, No. 139.

=====

Record 12
DFT (SCAN) results for a PBEsol-optimized structure of AlCuF2. Values from VASP.

Cell and atoms, written as Quantum ESPRESSO input:
```
&SYSTEM
  ibrav = 0, nat = 4, ntyp = 3
/
ATOMIC_SPECIES
Al 26.98 Al.upf
Cu 63.55 Cu.upf
F 19.00 F.upf
CELL_PARAMETERS angstrom
1.390 0.803 6.872
-1.390 0.803 6.872
0.000 -1.605 6.872
ATOMIC_POSITIONS angstrom
Al 0.000 0.000 0.000
Cu 0.000 0.000 10.308
F 0.000 0.000 1.872
F 0.000 0.000 18.744
```

Properties
The total energy is -9.02 eV per atom. The polymorph energy (0 for the lowest one) is 0.0 meV/atom. As for the space group: R-3m, No. 166.